1.
Sr2ZnOs: optimized geometry, PBE.

Structure (POSCAR):
```
Sr2ZnOs
1.0
-1.756 4.038 1.736
0.542 -1.656 4.401
8.671 5.087 3.392
Sr Zn Os
4 2 2
Cartesian
1.115 3.641 2.505
2.310 0.690 3.793
6.041 4.730 4.789
5.448 5.879 7.970
-0.607 1.191 3.069
4.303 2.311 5.431
0.000 0.000 0.000
3.154 5.158 4.098
```

Output
formation energy from the elements	25.23	kcal/mol of atoms
mass density	6.34	g/cm3
DOS(E_F)	4.65	states/eV/f.u.

2.
SrZn2Os: optimized geometry, PBE.

Structure (POSCAR):
```
SrZn2Os
1.0
6.793 -0.033 -0.099
-2.702 4.243 0.052
1.389 0.841 2.533
Os Sr Zn
1 1 2
Cartesian
-0.657 2.542 1.292
2.046 2.105 -0.024
0.000 0.000 0.000
4.091 0.404 1.217
```

Output
formation energy from the elements	13.69	kcal/mol of atoms
mass density	9.26	g/cm3
DOS(E_F)	2.51	states/eV/f.u.

3.
Sr2ZnOs: optimized geometry, PBE.

Structure (POSCAR):
```
Sr2ZnOs
1.0
-1.089 -1.986 -5.805
0.374 -6.105 -1.190
-2.812 4.284 3.545
Os Sr Zn
1 2 1
Cartesian
-1.431 -3.319 -0.905
-0.017 -0.188 -0.163
-2.116 -0.734 -2.758
-0.319 -3.610 -3.121
```

Output
formation energy from the elements	7.50	kcal/mol of atoms
mass density	6.86	g/cm3
DOS(E_F)	1.73	states/eV/f.u.

4.
SrZn3Os: optimized geometry, PBE.

Structure (POSCAR):
```
SrZn3Os
1.0
4.866 0.000 0.000
0.000 4.866 0.000
0.000 0.000 4.866
Sr Zn Os
1 3 1
Cartesian
2.433 2.433 2.433
0.000 2.433 0.000
0.000 0.000 2.433
2.433 0.000 0.000
0.000 0.000 0.000
```

Output
formation energy from the elements	0.14	kcal/mol of atoms
E above lowest polymorph	0	meV per atom
mass density	6.83	g/cm3
DOS(E_F)	1.93	states/eV/f.u.